No. 1
# Cs2PbC

An optimized crystal structure of Cs2PbC (PBE, the Alexandria database).

Cell: 13.764 13.764 9.973 Å, 46.37 46.37 90.00°
Fractional positions:
1 Cs 0.424 0.125 0.250
2 C 0.250 0.750 0.500
3 Cs 0.375 0.576 0.750
4 Pb 0.000 0.000 0.000
5 Cs 0.326 0.625 0.250
6 C 0.500 0.500 0.000
7 Cs 0.875 0.674 0.750
8 Pb 0.750 0.250 0.500

Calculated values
Offset from the most stable computed form, meV/atom: 0
Symmetry: I-42d (122)
ΔE_f, meV/atom: 903
V, Å³ per cell: 412.4

No. 2
# CsPb3C

An optimized crystal structure of CsPb3C (PBE, the Alexandria database).

Cell: 6.512 6.512 6.512 Å, 90.00 90.00 90.00°
Fractional positions:
1 C 0.500 0.500 0.500
2 Pb 0.500 0.000 0.000
3 Pb 0.000 0.500 0.000
4 Cs 0.000 0.000 0.000
5 Pb 0.000 0.000 0.500

Calculated values
Offset from the most stable computed form, meV/atom: 1629
Symmetry: Pm-3m (221)
ΔE_f, meV/atom: 2545
V, Å³ per cell: 276.1

No. 3
# CsPbC2

An optimized crystal structure of CsPbC2 (PBE, the Alexandria database).

Cell: 5.644 5.644 7.928 Å, 69.15 69.15 90.00°
Fractional positions:
1 C 0.773 0.125 0.250
2 Pb 0.750 0.250 0.500
3 Cs 0.250 0.750 0.500
4 C 0.875 0.023 0.750
5 C 0.375 0.227 0.750
6 C 0.977 0.625 0.250
7 Pb 0.000 0.000 0.000
8 Cs 0.500 0.500 0.000

Calculated values
Symmetry: I-42d (122)
ΔE_f, meV/atom: 2099
V, Å³ per cell: 218.2

No. 4
# CsPbC

An optimized crystal structure of CsPbC (PBE, the Alexandria database).

Cell: 7.230 4.897 13.292 Å, 90.00 112.53 90.00°
Fractional positions:
1 C 0.482 0.500 0.043
2 Pb 0.636 0.500 0.817
3 Cs 0.178 0.000 0.907
4 C 0.518 0.500 0.957
5 Cs 0.822 0.500 0.593
6 Cs 0.178 0.500 0.407
7 C 0.518 0.000 0.457
8 C 0.482 0.000 0.543
9 Pb 0.364 0.000 0.683
10 Pb 0.636 0.000 0.317
11 Pb 0.364 0.500 0.183
12 Cs 0.822 0.000 0.093

Calculated values
Offset from the most stable computed form, meV/atom: 0
Symmetry: C2/m (12)
ΔE_f, meV/atom: 226
V, Å³ per cell: 434.6

No. 5
# CsPbC

An optimized crystal structure of CsPbC (PBE, the Alexandria database).

Cell: 9.324 5.331 9.213 Å, 90.00 90.02 90.00°
Fractional positions:
1 Pb 0.087 0.500 0.345
2 Pb 0.967 0.500 0.011
3 C 0.577 0.500 0.012
4 C 0.713 0.500 0.011
5 C 0.713 0.000 0.511
6 C 0.577 0.000 0.512
7 Cs 0.380 0.500 0.678
8 Pb 0.967 0.000 0.511
9 Cs 0.380 0.000 0.178
10 Cs 0.674 0.500 0.345
11 Pb 0.087 0.000 0.845
12 Cs 0.674 0.000 0.845

Calculated values
Offset from the most stable computed form, meV/atom: 90
Symmetry: Cm (8)
ΔE_f, meV/atom: 316
V, Å³ per cell: 458.0

No. 6
# CsPbC

An optimized crystal structure of CsPbC (PBE, the Alexandria database).

Cell: 6.017 6.046 7.019 Å, 64.52 64.64 61.19°
Fractional positions:
1 C 0.534 0.033 0.896
2 Pb 0.337 0.838 0.489
3 Cs 0.880 0.379 0.858
4 Cs 0.120 0.621 0.142
5 Pb 0.663 0.162 0.511
6 C 0.466 0.967 0.104

Calculated values
Offset from the most stable computed form, meV/atom: 17
Symmetry: P-1 (2)
ΔE_f, meV/atom: 243
V, Å³ per cell: 193.9